# Dy2Fe17 GGA-PBE optimized geometry
data_Dy2Fe17
_cell_length_a 8.3981
_cell_length_b 8.3981
_cell_length_c 8.2150
_cell_angle_alpha 90.00
_cell_angle_beta 90.00
_cell_angle_gamma 120.00
_space_group_name_H-M_alt 'P 63/m m c'
_space_group_IT_number 194
_space_group_name_Hall '-P 6c 2c'
loop_
_atom_site_label
_atom_site_fract_x
_atom_site_fract_y
_atom_site_fract_z
_atom_site_occupancy
Dy1 0.0000 0.0000 0.2500 1
Dy2 0.3333 0.6667 0.2500 1
Fe1 0.0000 0.5000 0.0000 1
Fe2 0.0384 0.3675 0.7500 1
Fe3 0.1656 0.3313 0.0153 1
Fe4 0.3333 0.6667 0.6070 1
# V (Å³/atom): 13.20
# Raw total energy (eV/cell): -301.374